Density functional theory data (GGA-PBE) for a relaxed K3NdHo2Se6 crystal.

The uncorrected formation energy comes out at -1.756 eV/atom. The density of states at the Fermi level comes out at 0.000 states/eV per cell.

The structure in CIF format:
```
data_K3NdHo2Se6
_chemical_formula_sum 'K3 Nd1 Ho2 Se6'
_cell_length_a 7.358
_cell_length_b 7.358
_cell_length_c 8.074
_cell_angle_alpha 98.75
_cell_angle_beta 98.75
_cell_angle_gamma 120.00
_symmetry_space_group_name_H-M 'P 1'
_symmetry_Int_Tables_number 1
loop_
_symmetry_equiv_pos_as_xyz
'x,y,z'
loop_
_atom_site_label
_atom_site_type_symbol
_atom_site_fract_x
_atom_site_fract_y
_atom_site_fract_z
_atom_site_occupancy
K1 K 0.000 0.000 0.000 1
K2 K 0.335 0.665 0.000 1
K3 K 0.665 0.335 0.000 1
Nd1 Nd 0.500 0.500 0.500 1
Ho1 Ho 0.167 0.833 0.500 1
Ho2 Ho 0.833 0.167 0.500 1
Se1 Se 0.089 0.431 0.294 1
Se2 Se 0.226 0.226 0.706 1
Se3 Se 0.431 0.089 0.294 1
Se4 Se 0.569 0.911 0.706 1
Se5 Se 0.774 0.774 0.294 1
Se6 Se 0.911 0.569 0.706 1
```


Density functional theory data (GGA-PBE) for a relaxed KNd2HoSe4 crystal.

The uncorrected formation energy comes out at -1.718 eV/atom. The density of states at the Fermi level comes out at 2.796 states/eV per cell.

The structure in CIF format:
```
data_KNd2HoSe4
_chemical_formula_sum 'K1 Nd2 Ho1 Se4'
_cell_length_a 7.386
_cell_length_b 4.198
_cell_length_c 7.420
_cell_angle_alpha 90.00
_cell_angle_beta 108.58
_cell_angle_gamma 90.00
_symmetry_space_group_name_H-M 'P 1'
_symmetry_Int_Tables_number 1
loop_
_symmetry_equiv_pos_as_xyz
'x,y,z'
loop_
_atom_site_label
_atom_site_type_symbol
_atom_site_fract_x
_atom_site_fract_y
_atom_site_fract_z
_atom_site_occupancy
K1 K 0.000 0.000 0.000 1
Nd1 Nd 0.500 0.000 0.500 1
Nd2 Nd 0.500 0.500 0.000 1
Ho1 Ho 0.000 0.500 0.500 1
Se1 Se 0.242 0.000 0.736 1
Se2 Se 0.256 0.500 0.267 1
Se3 Se 0.744 0.500 0.733 1
Se4 Se 0.758 0.000 0.264 1
```


Density functional theory data (GGA-PBE) for a relaxed KNdHo4Se8 crystal.

The uncorrected formation energy comes out at -1.740 eV/atom. The density of states at the Fermi level comes out at 0.000 states/eV per cell.

The structure in CIF format:
```
data_KNdHo4Se8
_chemical_formula_sum 'K1 Nd1 Ho4 Se8'
_cell_length_a 8.672
_cell_length_b 8.672
_cell_length_c 8.672
_cell_angle_alpha 59.00
_cell_angle_beta 59.00
_cell_angle_gamma 59.00
_symmetry_space_group_name_H-M 'P 1'
_symmetry_Int_Tables_number 1
loop_
_symmetry_equiv_pos_as_xyz
'x,y,z'
loop_
_atom_site_label
_atom_site_type_symbol
_atom_site_fract_x
_atom_site_fract_y
_atom_site_fract_z
_atom_site_occupancy
K1 K 0.000 0.000 0.000 1
Nd1 Nd 0.634 0.634 0.634 1
Ho1 Ho 0.115 0.634 0.634 1
Ho2 Ho 0.255 0.255 0.255 1
Ho3 Ho 0.634 0.115 0.634 1
Ho4 Ho 0.634 0.634 0.115 1
Se1 Se 0.382 0.382 0.860 1
Se2 Se 0.382 0.860 0.382 1
Se3 Se 0.387 0.387 0.387 1
Se4 Se 0.423 0.870 0.870 1
Se5 Se 0.860 0.382 0.382 1
Se6 Se 0.862 0.862 0.862 1
Se7 Se 0.870 0.423 0.870 1
Se8 Se 0.870 0.870 0.423 1
```


Density functional theory data (GGA-PBE) for a relaxed K2NdHoTe4 crystal.

The uncorrected formation energy comes out at -1.400 eV/atom.

The structure in CIF format:
```
data_K2NdHoTe4
_chemical_formula_sum 'K2 Nd1 Ho1 Te4'
_cell_length_a 7.884
_cell_length_b 4.550
_cell_length_c 8.659
_cell_angle_alpha 90.00
_cell_angle_beta 107.64
_cell_angle_gamma 90.00
_symmetry_space_group_name_H-M 'P 1'
_symmetry_Int_Tables_number 1
loop_
_symmetry_equiv_pos_as_xyz
'x,y,z'
loop_
_atom_site_label
_atom_site_type_symbol
_atom_site_fract_x
_atom_site_fract_y
_atom_site_fract_z
_atom_site_occupancy
K1 K 0.000 0.000 0.000 1
K2 K 0.500 0.500 0.000 1
Nd1 Nd 0.000 0.500 0.500 1
Ho1 Ho 0.500 0.000 0.500 1
Te1 Te 0.245 0.000 0.713 1
Te2 Te 0.271 0.500 0.291 1
Te3 Te 0.729 0.500 0.709 1
Te4 Te 0.755 0.000 0.287 1
```


Density functional theory data (GGA-PBE) for a relaxed KNd3Ho2Te6 crystal.

The uncorrected formation energy comes out at -1.339 eV/atom. The density of states at the Fermi level comes out at 4.312 states/eV per cell.

The structure in CIF format:
```
data_KNd3Ho2Te6
_chemical_formula_sum 'K1 Nd3 Ho2 Te6'
_cell_length_a 10.063
_cell_length_b 10.063
_cell_length_c 9.103
_cell_angle_alpha 103.34
_cell_angle_beta 103.34
_cell_angle_gamma 25.50
_symmetry_space_group_name_H-M 'P 1'
_symmetry_Int_Tables_number 1
loop_
_symmetry_equiv_pos_as_xyz
'x,y,z'
loop_
_atom_site_label
_atom_site_type_symbol
_atom_site_fract_x
_atom_site_fract_y
_atom_site_fract_z
_atom_site_occupancy
K1 K 0.000 0.000 0.000 1
Nd1 Nd 0.000 0.000 0.500 1
Nd2 Nd 0.342 0.342 0.183 1
Nd3 Nd 0.658 0.658 0.817 1
Ho1 Ho 0.334 0.334 0.661 1
Ho2 Ho 0.666 0.666 0.339 1
Te1 Te 0.170 0.170 0.574 1
Te2 Te 0.174 0.174 0.094 1
Te3 Te 0.493 0.493 0.740 1
Te4 Te 0.507 0.507 0.260 1
Te5 Te 0.826 0.826 0.906 1
Te6 Te 0.830 0.830 0.426 1
```


Density functional theory data (GGA-PBE) for a relaxed KNd2Ho3Te6 crystal.

The uncorrected formation energy comes out at -1.339 eV/atom. The density of states at the Fermi level comes out at 4.040 states/eV per cell.

The structure in CIF format:
```
data_KNd2Ho3Te6
_chemical_formula_sum 'K1 Nd2 Ho3 Te6'
_cell_length_a 10.065
_cell_length_b 10.065
_cell_length_c 9.117
_cell_angle_alpha 104.49
_cell_angle_beta 104.49
_cell_angle_gamma 25.18
_symmetry_space_group_name_H-M 'P 1'
_symmetry_Int_Tables_number 1
loop_
_symmetry_equiv_pos_as_xyz
'x,y,z'
loop_
_atom_site_label
_atom_site_type_symbol
_atom_site_fract_x
_atom_site_fract_y
_atom_site_fract_z
_atom_site_occupancy
K1 K 0.000 0.000 0.000 1
Nd1 Nd 0.327 0.327 0.650 1
Nd2 Nd 0.673 0.673 0.350 1
Ho1 Ho 0.000 0.000 0.500 1
Ho2 Ho 0.336 0.336 0.174 1
Ho3 Ho 0.664 0.664 0.826 1
Te1 Te 0.161 0.161 0.593 1
Te2 Te 0.174 0.174 0.079 1
Te3 Te 0.500 0.500 0.268 1
Te4 Te 0.500 0.500 0.732 1
Te5 Te 0.826 0.826 0.921 1
Te6 Te 0.839 0.839 0.407 1
```


Density functional theory data (GGA-PBE) for a relaxed K4Nd3HoTe8 crystal.

The uncorrected formation energy comes out at -1.408 eV/atom.

The structure in CIF format:
```
data_K4Nd3HoTe8
_chemical_formula_sum 'K4 Nd3 Ho1 Te8'
_cell_length_a 9.808
_cell_length_b 9.808
_cell_length_c 9.808
_cell_angle_alpha 55.76
_cell_angle_beta 55.76
_cell_angle_gamma 55.76
_symmetry_space_group_name_H-M 'P 1'
_symmetry_Int_Tables_number 1
loop_
_symmetry_equiv_pos_as_xyz
'x,y,z'
loop_
_atom_site_label
_atom_site_type_symbol
_atom_site_fract_x
_atom_site_fract_y
_atom_site_fract_z
_atom_site_occupancy
K1 K 0.000 0.000 0.000 1
K2 K 0.000 0.500 0.500 1
K3 K 0.500 0.000 0.500 1
K4 K 0.500 0.500 0.000 1
Nd1 Nd 0.000 0.000 0.500 1
Nd2 Nd 0.000 0.500 0.000 1
Nd3 Nd 0.500 0.000 0.000 1
Ho1 Ho 0.500 0.500 0.500 1
Te1 Te 0.239 0.239 0.239 1
Te2 Te 0.245 0.733 0.733 1
Te3 Te 0.267 0.267 0.755 1
Te4 Te 0.267 0.755 0.267 1
Te5 Te 0.733 0.245 0.733 1
Te6 Te 0.733 0.733 0.245 1
Te7 Te 0.755 0.267 0.267 1
Te8 Te 0.761 0.761 0.761 1
```


Density functional theory data (GGA-PBE) for a relaxed K2HoNpO4 crystal.

The uncorrected formation energy comes out at -2.473 eV/atom. The density of states at the Fermi level comes out at 9.466 states/eV per cell.

The structure in CIF format:
```
data_K2HoNpO4
_chemical_formula_sum 'K2 Ho1 Np1 O4'
_cell_length_a 6.094
_cell_length_b 3.518
_cell_length_c 6.607
_cell_angle_alpha 90.00
_cell_angle_beta 107.99
_cell_angle_gamma 90.00
_symmetry_space_group_name_H-M 'P 1'
_symmetry_Int_Tables_number 1
loop_
_symmetry_equiv_pos_as_xyz
'x,y,z'
loop_
_atom_site_label
_atom_site_type_symbol
_atom_site_fract_x
_atom_site_fract_y
_atom_site_fract_z
_atom_site_occupancy
K1 K 0.000 0.000 0.000 1
K2 K 0.500 0.500 0.000 1
Ho1 Ho 0.000 0.500 0.500 1
Np1 Np 0.500 0.000 0.500 1
O1 O 0.224 0.000 0.686 1
O2 O 0.267 0.500 0.313 1
O3 O 0.733 0.500 0.687 1
O4 O 0.776 0.000 0.314 1
```


Density functional theory data (GGA-PBE) for a relaxed K2Ho2NpO6 crystal.

The uncorrected formation energy comes out at -2.830 eV/atom. The density of states at the Fermi level comes out at 9.549 states/eV per cell.

The structure in CIF format:
```
data_K2Ho2NpO6
_chemical_formula_sum 'K2 Ho2 Np1 O6'
_cell_length_a 6.010
_cell_length_b 6.010
_cell_length_c 6.677
_cell_angle_alpha 98.62
_cell_angle_beta 98.62
_cell_angle_gamma 120.10
_symmetry_space_group_name_H-M 'P 1'
_symmetry_Int_Tables_number 1
loop_
_symmetry_equiv_pos_as_xyz
'x,y,z'
loop_
_atom_site_label
_atom_site_type_symbol
_atom_site_fract_x
_atom_site_fract_y
_atom_site_fract_z
_atom_site_occupancy
K1 K 0.169 0.831 0.000 1
K2 K 0.831 0.169 0.000 1
Ho1 Ho 0.334 0.666 0.500 1
Ho2 Ho 0.666 0.334 0.500 1
Np1 Np 0.000 0.000 0.500 1
O1 O 0.050 0.387 0.674 1
O2 O 0.262 0.262 0.329 1
O3 O 0.387 0.050 0.674 1
O4 O 0.613 0.950 0.326 1
O5 O 0.738 0.738 0.671 1
O6 O 0.950 0.613 0.326 1
```


Density functional theory data (GGA-PBE) for a relaxed KHo2NpO8 crystal.

The uncorrected formation energy comes out at -2.639 eV/atom. The density of states at the Fermi level comes out at 2.968 states/eV per cell.

The structure in CIF format:
```
data_KHo2NpO8
_chemical_formula_sum 'K1 Ho2 Np1 O8'
_cell_length_a 3.939
_cell_length_b 7.971
_cell_length_c 5.306
_cell_angle_alpha 90.00
_cell_angle_beta 94.43
_cell_angle_gamma 90.00
_symmetry_space_group_name_H-M 'P 1'
_symmetry_Int_Tables_number 1
loop_
_symmetry_equiv_pos_as_xyz
'x,y,z'
loop_
_atom_site_label
_atom_site_type_symbol
_atom_site_fract_x
_atom_site_fract_y
_atom_site_fract_z
_atom_site_occupancy
K1 K 0.000 0.000 0.000 1
Ho1 Ho 0.500 0.276 0.500 1
Ho2 Ho 0.500 0.724 0.500 1
Np1 Np 0.000 0.500 0.000 1
O1 O 0.022 0.300 0.757 1
O2 O 0.022 0.700 0.757 1
O3 O 0.448 0.000 0.634 1
O4 O 0.472 0.500 0.233 1
O5 O 0.528 0.500 0.767 1
O6 O 0.552 0.000 0.366 1
O7 O 0.978 0.300 0.243 1
O8 O 0.978 0.700 0.243 1
```


Which theoretical density belongs to each record? In order, 4.9 6.2 5.4 5.0 6.7 6.9 4.9 6.7 6.2 7.3 g/cm3.